# 1
Density functional theory data (PBE-GGA) for a relaxed CaAcPb3 crystal.

Cell: 9.4553 15.5974 4.6794 Å, 90.00 90.00 90.00°
Space group Cmmm (No. 65)
Unique sites:
Ca 0.2500 0.2500 0.0000 [4 per cell]
Ac 0.0000 0.0000 0.0000 [2 per cell]
Ac 0.0000 0.5000 0.0000 [2 per cell]
Pb 0.0000 0.2089 0.5000 [4 per cell]
Pb 0.2281 0.4015 0.5000 [8 per cell]

Uncorrected energy   -3.86 eV per atom
DFT formation energy   -0.413 eV/atom


# 2
Density functional theory data (PBE-GGA) for a relaxed Pm2Pr2Dy2Ho crystal.

Cell: 5.7490 5.7490 24.7936 Å, 90.00 90.00 120.00°
Space group R-3m (No. 166, hexagonal axes)
Unique sites:
Pm 0.0000 0.0000 0.2142 [6 per cell]
Pr 0.0000 0.0000 0.3615 [6 per cell]
Dy 0.0000 0.0000 0.0719 [6 per cell]
Ho 0.0000 0.0000 0.5000 [3 per cell]

Uncorrected energy   -4.56 eV per atom
DFT formation energy   0.130 eV/atom


# 3
Density functional theory data (PBE-GGA) for a relaxed YCdAg6 crystal.

Cell: 5.4215 5.4215 5.4215 Å, 90.00 90.00 90.00°
Space group Pm-3 (No. 200)
Unique sites:
Y 0.0000 0.0000 0.0000 [1 per cell]
Cd 0.5000 0.5000 0.5000 [1 per cell]
Ag 0.0000 0.2522 0.5000 [6 per cell]

Uncorrected energy   -3.12 eV per atom
DFT formation energy   -0.064 eV/atom


# 4
Density functional theory data (PBE-GGA) for a relaxed RbLiZn2Ag crystal.

Cell: 5.1262 5.1262 5.2663 Å, 90.00 90.00 90.00°
Space group P4/mmm (No. 123)
Unique sites:
Rb 0.0000 0.0000 0.0000 [1 per cell]
Li 0.5000 0.5000 0.0000 [1 per cell]
Zn 0.0000 0.5000 0.5000 [2 per cell]
Ag 0.5000 0.5000 0.5000 [1 per cell]

Uncorrected energy   -1.56 eV per atom
DFT formation energy   0.093 eV/atom


# 5
Density functional theory data (PBE-GGA) for a relaxed RePbIO4 crystal.

Cell: 11.8825 7.9354 8.2162 Å, 90.00 111.77 90.00°
Space group C2/m (No. 12)
Unique sites:
Re 0.1316 0.0000 0.2659 [4 per cell]
Pb 0.2055 0.5000 0.1627 [4 per cell]
I 0.0251 0.5000 0.7592 [4 per cell]
O 0.0262 0.0000 0.8111 [4 per cell]
O 0.1831 0.1807 0.1897 [8 per cell]
O 0.1884 0.0000 0.4959 [4 per cell]

Formation energy (no corrections)   -1.381 eV per atom
Uncorrected energy   -6.74 eV per atom


# 6
Density functional theory data (PBE-GGA) for a relaxed CdNiRu2 crystal.

Cell: 2.7862 2.7862 7.5755 Å, 90.00 90.00 90.00°
Space group P4mm (No. 99)
Unique sites:
Cd 0.0000 0.0000 0.0000 [1 per cell]
Ni 0.5000 0.5000 0.2595 [1 per cell]
Ru 0.0000 0.0000 0.4866 [1 per cell]
Ru 0.5000 0.5000 0.7101 [1 per cell]

Uncorrected energy   -6.15 eV per atom
DFT formation energy   0.162 eV/atom